[1]
Density functional theory data (GGA+U) for an optimized crystal structure of CoRe2PbO8.

abc: 5.1120 5.1120 7.0647
angles: 97.43 97.43 78.12
With the nearest neighbours (Å) after each atom.
Atoms (fractional coordinates):
Co1 0.0000 0.0000 0.0000  2 O 1.95
Re1 0.4230 0.4230 0.2554  4 O 1.78-1.84
Re2 0.5770 0.5770 0.7446  4 O 1.78-1.84
Pb1 0.0000 0.0000 0.5000  6 O 2.53-2.69
O1 0.2362 0.7515 0.7801  1 Re 1.82
O2 0.2485 0.7638 0.2199  1 Re 1.82
O3 0.2490 0.2490 0.0597  1 Re 1.78, 1 Co 1.95
O4 0.3350 0.3350 0.4801  1 Re 1.84
O5 0.6650 0.6650 0.5199  1 Re 1.84
O6 0.7510 0.7510 0.9403  1 Re 1.78, 1 Co 1.95
O7 0.7515 0.2362 0.7801  1 Re 1.82
O8 0.7638 0.2485 0.2199  1 Re 1.82

Calculated values
Symmetry: C2/m
DOS(E_F) in states/eV/atom: 0.231
VASP energy in eV per atom: -7.435

=====

[2]
Density functional theory data (GGA+U) for an optimized crystal structure of CoRhPbO6.

abc: 5.1054 5.1054 4.7018
angles: 90.00 90.00 120.00
With the nearest neighbours (Å) after each atom.
Atoms (fractional coordinates):
Co1 0.0000 0.0000 0.0000  6 O 1.89
Rh1 0.6667 0.3333 0.0000  6 O 1.96
Pb1 0.3333 0.6667 0.5000  6 O 2.30
O1 0.3228 0.0340 0.2250  1 Co 1.89, 1 Rh 1.96
O2 0.3228 0.2888 0.7750  1 Co 1.89, 1 Rh 1.96
O3 0.7112 0.0340 0.7750  1 Co 1.89, 1 Rh 1.96
O4 0.7112 0.6772 0.2250  1 Co 1.89, 1 Rh 1.96
O5 0.9660 0.2888 0.2250  1 Co 1.89, 1 Rh 1.96
O6 0.9660 0.6772 0.7750  1 Co 1.89, 1 Rh 1.96

Calculated values
Symmetry: P312
DOS(E_F) in states/eV/atom: 0.657
VASP energy in eV per atom: -5.837

=====

[3]
Density functional theory data (GGA+U) for an optimized crystal structure of Co2RuPbO8.

abc: 5.7070 5.7070 5.7070
angles: 109.80 109.80 108.82
With the nearest neighbours (Å) after each atom.
Atoms (fractional coordinates):
Co1 0.0000 0.0000 0.0000  4 O 1.86
Co2 0.7500 0.2500 0.5000  4 O 1.82
Ru1 0.5000 0.5000 0.0000  8 O 2.01-2.13
Pb1 0.2500 0.7500 0.5000  8 O 2.19-2.45
O1 0.1393 0.4390 0.7002  1 Co 1.82, 1 Ru 2.01
O2 0.2254 0.0583 0.8329  1 Co 1.86
O3 0.2254 0.3926 0.1671  1 Co 1.86
O4 0.5610 0.2612 0.7002  1 Co 1.82, 1 Ru 2.01
O5 0.5610 0.8607 0.2998  1 Co 1.82, 1 Ru 2.01
O6 0.6074 0.7746 0.8329  1 Co 1.86
O7 0.7388 0.4390 0.2998  1 Co 1.82, 1 Ru 2.01
O8 0.9417 0.7746 0.1671  1 Co 1.86

Calculated values
Symmetry: I-4m2
DOS(E_F) in states/eV/atom: 0.384
VASP energy in eV per atom: -5.803

=====

[4]
Density functional theory data (GGA+U) for an optimized crystal structure of CoRuPbO6.

abc: 5.1078 5.1078 4.9853
angles: 90.00 90.00 120.00
With the nearest neighbours (Å) after each atom.
Atoms (fractional coordinates):
Co1 0.0000 0.0000 0.0000  6 O 1.89
Ru1 0.6667 0.3333 0.0000  6 O 1.93
Pb1 0.3333 0.6667 0.5000  6 O 2.43
O1 0.3280 0.0468 0.2111  1 Co 1.89, 1 Ru 1.93
O2 0.3280 0.2812 0.7889  1 Co 1.89, 1 Ru 1.93
O3 0.7188 0.0468 0.7889  1 Co 1.89, 1 Ru 1.93
O4 0.7188 0.6720 0.2111  1 Co 1.89, 1 Ru 1.93
O5 0.9532 0.2812 0.2111  1 Co 1.89, 1 Ru 1.93
O6 0.9532 0.6720 0.7889  1 Co 1.89, 1 Ru 1.93

Calculated values
Symmetry: P312
DOS(E_F) in states/eV/atom: 0.303
VASP energy in eV per atom: -6.206

=====

[5]
Density functional theory data (GGA+U) for an optimized crystal structure of Co3Ru4PbO12.

abc: 6.5692 6.5692 6.5692
angles: 109.47 109.47 109.47
With the nearest neighbours (Å) after each atom.
Atoms (fractional coordinates):
Co1 0.0000 0.5000 0.5000  4 O 1.97
Co2 0.5000 0.0000 0.5000  4 O 1.97
Co3 0.5000 0.5000 0.0000  4 O 1.97
Ru1 0.0000 0.0000 0.5000  6 O 2.03
Ru2 0.0000 0.5000 0.0000  6 O 2.03
Ru3 0.5000 0.0000 0.0000  6 O 2.03
Ru4 0.5000 0.5000 0.5000  6 O 2.03
Pb1 0.0000 0.0000 0.0000  12 O 2.74
O1 0.1336 0.8202 0.3134  1 Co 1.97, 2 Ru 2.03
O2 0.1798 0.3134 0.4931  1 Co 1.97, 2 Ru 2.03
O3 0.1798 0.6866 0.8664  1 Co 1.97, 2 Ru 2.03
O4 0.3134 0.1336 0.8202  1 Co 1.97, 2 Ru 2.03
O5 0.3134 0.4931 0.1798  1 Co 1.97, 2 Ru 2.03
O6 0.4931 0.1798 0.3134  1 Co 1.97, 2 Ru 2.03
O7 0.5069 0.8202 0.6866  1 Co 1.97, 2 Ru 2.03
O8 0.6866 0.5069 0.8202  1 Co 1.97, 2 Ru 2.03
O9 0.6866 0.8664 0.1798  1 Co 1.97, 2 Ru 2.03
O10 0.8202 0.3134 0.1336  1 Co 1.97, 2 Ru 2.03
O11 0.8202 0.6866 0.5069  1 Co 1.97, 2 Ru 2.03
O12 0.8664 0.1798 0.6866  1 Co 1.97, 2 Ru 2.03

Calculated values
Symmetry: Im-3
DOS(E_F) in states/eV/atom: 0.448
VASP energy in eV per atom: -6.708

=====

[6]
Density functional theory data (GGA+U) for an optimized crystal structure of CoPbS2O8.

abc: 4.9214 4.9214 7.5926
angles: 93.01 93.01 64.80
With the nearest neighbours (Å) after each atom.
Atoms (fractional coordinates):
Co1 0.0000 0.0000 0.0000  6 O 2.03-2.15
Pb1 0.0000 0.0000 0.5000  6 O 2.63-2.64
S1 0.3631 0.3631 0.2204  4 O 1.47-1.51
S2 0.6369 0.6369 0.7796  4 O 1.47-1.51
O1 0.2350 0.6996 0.2079  1 S 1.51
O2 0.2392 0.2392 0.0743  1 S 1.47
O3 0.2988 0.2988 0.3994  1 S 1.49
O4 0.3004 0.7650 0.7921  1 S 1.51
O5 0.6996 0.2350 0.2079  1 S 1.51
O6 0.7012 0.7012 0.6006  1 S 1.49
O7 0.7608 0.7608 0.9257  1 S 1.47
O8 0.7650 0.3004 0.7921  1 S 1.51

Calculated values
Symmetry: C2/m
DOS(E_F) in states/eV/atom: 0.000
VASP energy in eV per atom: -6.109

=====

[7]
Density functional theory data (GGA+U) for an optimized crystal structure of Co2SbPbO6.

abc: 6.6805 6.6805 6.6805
angles: 46.11 46.11 46.11
With the nearest neighbours (Å) after each atom.
Atoms (fractional coordinates):
Co1 0.0000 0.0000 0.0000  6 O 2.06-2.19
Co2 0.3485 0.3485 0.3485  6 O 1.96
Sb1 0.6805 0.6805 0.6805  6 O 2.02-2.04
Pb1 0.1759 0.1759 0.1759  6 O 2.56-2.60
O1 0.0783 0.7242 0.4082  2 Co 1.96-2.19, 1 Sb 2.02
O2 0.3069 0.5864 0.9677  2 Co 1.96-2.06, 1 Sb 2.04
O3 0.4082 0.0783 0.7242  2 Co 1.96-2.19, 1 Sb 2.02
O4 0.5864 0.9677 0.3069  2 Co 1.96-2.06, 1 Sb 2.04
O5 0.7242 0.4082 0.0783  2 Co 1.96-2.19, 1 Sb 2.02
O6 0.9677 0.3069 0.5864  2 Co 1.96-2.06, 1 Sb 2.04

Calculated values
Symmetry: R3
DOS(E_F) in states/eV/atom: 0.000
VASP energy in eV per atom: -5.978

=====

[8]
Density functional theory data (GGA+U) for an optimized crystal structure of CoSbPb2O6.

abc: 5.6772 5.6337 9.9555
angles: 90.00 124.69 90.00
With the nearest neighbours (Å) after each atom.
Atoms (fractional coordinates):
Co1 0.0000 0.0000 0.0000  6 O 1.96-2.14
Co2 0.0000 0.5000 0.5000  6 O 1.96-2.14
Sb1 0.5000 0.0000 0.5000  6 O 1.99-2.08
Sb2 0.5000 0.5000 0.0000  6 O 1.99-2.08
Pb1 0.2457 0.0161 0.7495  6 O 2.54-2.79
Pb2 0.2457 0.4839 0.2495  6 O 2.54-2.79
Pb3 0.7543 0.5161 0.7505  6 O 2.54-2.79
Pb4 0.7543 0.9839 0.2505  6 O 2.54-2.79
O1 0.1945 0.2347 0.4739  1 Co 1.96, 1 Sb 2.08
O2 0.1945 0.2653 0.9739  1 Co 1.96, 1 Sb 2.08
O3 0.2452 0.7305 0.4668  1 Sb 1.99, 1 Co 2.06
O4 0.2452 0.7695 0.9668  1 Sb 1.99, 1 Co 2.06
O5 0.3150 0.0106 0.2578  1 Sb 2.01, 1 Co 2.14
O6 0.3150 0.4894 0.7578  1 Sb 2.01, 1 Co 2.14
O7 0.6850 0.5106 0.2422  1 Sb 2.01, 1 Co 2.14
O8 0.6850 0.9894 0.7422  1 Sb 2.01, 1 Co 2.14
O9 0.7548 0.2305 0.0332  1 Sb 1.99, 1 Co 2.06
O10 0.7548 0.2695 0.5332  1 Sb 1.99, 1 Co 2.06
O11 0.8055 0.7347 0.0261  1 Co 1.96, 1 Sb 2.08
O12 0.8055 0.7653 0.5261  1 Co 1.96, 1 Sb 2.08

Calculated values
Symmetry: P2_1/c
VASP energy in eV per atom: -5.768